[1]
YBePb2 | PBE | optimized geometry

Calculated values
crystal system: monoclinic

Cell lengths 6.4919, 10.5994, 3.5762 Å; angles 90.00, 121.95, 90.00 degrees
Space group C2/m (No. 12)
Unique sites:
Y1 0.0000 0.0000 0.0000 [2 per cell]
Be1 0.0000 0.5000 0.0000 [2 per cell]
Pb1 0.2500 0.2500 0.5000 [4 per cell]

---

[2]
YBePb2 | PBE | optimized geometry

Calculated values
crystal system: tetragonal

Cell lengths 3.4645, 3.4645, 8.5245 Å; angles 90.00, 90.00, 90.00 degrees
Space group P4mm (No. 99)
Unique sites:
Y1 0.0000 0.0000 0.0000 [1 per cell]
Be1 0.5000 0.5000 0.1935 [1 per cell]
Pb1 0.0000 0.0000 0.3963 [1 per cell]
Pb2 0.5000 0.5000 0.7166 [1 per cell]

---

no.,electronic total energy (eV for the cell shown),energy relative to the elements (meV per atom)
1,-33.33,235
2,-17.06,136